The following is a PBE with a Hubbard U calculation of a relaxed structure of NaV2P2O9, from Alexandria via LeMat-Bulk.

Output
- Mass density: 3.11 g cm⁻³
- VASP energy: -7.334 eV per atom
- Symmetry: No. 62

Cell and atoms, written as extended XYZ:
```
56
Lattice="13.9797 0.0000 0.0000 0.0000 6.4384 0.0000 0.0000 0.0000 7.8486" Properties=species:S:1:pos:R:3 pbc="T T T"
Na 3.0588 1.6096 1.2884
Na 3.9311 4.8288 5.2128
Na 10.0486 1.6096 2.6359
Na 10.9210 4.8288 6.5602
V 0.0000 0.0000 0.0000
V 0.0000 3.2192 0.0000
V 1.6204 1.6096 5.1418
V 5.3694 4.8288 1.2175
V 6.9899 0.0000 3.9243
V 6.9899 3.2192 3.9243
V 8.6103 1.6096 6.6312
V 12.3593 4.8288 2.7069
P 0.8231 4.8288 5.1215
P 2.7338 4.8288 0.7845
P 4.2561 1.6096 4.7088
P 6.1668 1.6096 1.1971
P 7.8130 4.8288 6.6515
P 9.7236 4.8288 3.1398
P 11.2460 1.6096 7.0641
P 13.1566 1.6096 2.7272
O 0.1138 4.8288 6.5273
O 0.2490 1.6096 3.8130
O 0.6907 1.6096 6.7101
O 1.7404 3.5970 5.0530
O 1.7404 6.0606 5.0530
O 1.8504 3.5569 0.6671
O 1.8504 6.1007 0.6671
O 3.1033 1.6096 3.6628
O 3.4400 1.6096 6.0372
O 3.5499 4.8288 2.1128
O 3.8865 4.8288 7.5871
O 5.1395 0.3377 4.5914
O 5.1395 2.8815 4.5914
O 5.2495 0.3778 1.1287
O 5.2495 2.8414 1.1287
O 6.2992 4.8288 2.7858
O 6.7408 4.8288 7.7373
O 6.8761 1.6096 2.6030
O 7.1036 4.8288 5.2457
O 7.2389 1.6096 0.1113
O 7.6805 1.6096 5.0628
O 8.7303 3.5970 6.7199
O 8.7303 6.0606 6.7199
O 8.8403 3.5569 3.2572
O 8.8403 6.1007 3.2572
O 10.0932 1.6096 0.2615
O 10.4298 1.6096 5.7358
O 10.5398 4.8288 1.8115
O 10.8764 4.8288 4.1858
O 12.1293 0.3377 7.1815
O 12.1293 2.8815 7.1815
O 12.2393 0.3778 2.7956
O 12.2393 2.8414 2.7956
O 13.2891 4.8288 1.1385
O 13.7307 4.8288 4.0357
O 13.8659 1.6096 1.3213
```